A plane-wave DFT calculation with GGA-PBEsol was carried out for crystalline Zr2AgCl at its relaxed geometry.

Computed properties:
D(E_F) = 3.6 states/eV per cell
relative energy among the computed polymorphs = 0 meV/atom
mass density = 6.97 g/cm3
formation energy (no corrections) = -0.381 eV/atom

POSCAR file:
```
Zr2AgCl
1.0
3.075 0.000 0.000
0.000 3.671 0.000
-0.048 0.000 6.879
Zr Ag Cl
2 1 1
Direct
0.004 0.000 0.252
0.996 0.000 0.748
0.500 0.500 0.000
0.000 0.500 0.500
```